# 1
A PBEsol-optimized structure of HfCN2F. Source: the Alexandria database, functional meta-GGA SCAN.

Cell lengths 3.3681, 3.5325, 3.5325 Å; angles 90.00, 90.00, 90.00 degrees
Last column: nearest neighbours and their distance in Å.
Element x y z (fractional)
C  0.0000  0.0000  0.0000  2 F 1.68, 4 N 1.77
N  0.0000  0.0000  0.5000  2 C 1.77
N  0.0000  0.5000  0.0000  2 C 1.77
Hf  0.5000  0.5000  0.5000  8 N 2.44, 4 F 2.50
F  0.5000  0.0000  0.0000  2 C 1.68

---

# 2
A PBEsol-optimized structure of Hf2WCF. Source: the Alexandria database, functional meta-GGA SCAN.

Cell lengths 4.3994, 4.3994, 3.7387 Å; angles 90.00, 90.00, 90.00 degrees
Last column: nearest neighbours and their distance in Å.
Element x y z (fractional)
C  0.0000  0.0000  0.5000  2 F 1.87
Hf  0.0000  0.5000  0.0000  2 F 2.20
Hf  0.5000  0.0000  0.0000  2 F 2.20
W  0.5000  0.5000  0.5000  8 Hf 2.89, 4 C 3.11
F  0.0000  0.0000  0.0000  2 C 1.87

---

# 3
A PBEsol-optimized structure of HfWCF2. Source: the Alexandria database, functional meta-GGA SCAN.

Cell lengths 3.7494, 3.7494, 5.6370 Å; angles 90.00, 90.00, 90.00 degrees
Last column: nearest neighbours and their distance in Å.
Element x y z (fractional)
C  0.5000  0.5000  0.5000  4 W 2.65
Hf  0.0000  0.0000  0.0000  4 F 1.87
W  0.0000  0.0000  0.5000  4 C 2.65, 2 Hf 2.82
F  0.0000  0.5000  0.0000  2 Hf 1.87
F  0.5000  0.0000  0.0000  2 Hf 1.87

---

The calculation returns the following energy relative to the elements, uncorrected values, one per record and in order: 195 286 -132 kJ/mol of formula units.